Arrangement a

Entry from Alexandria: La3Tb4Dy2 after structural relaxation (GGA-PBE).

Properties
DOS at the Fermi energy: 12.3 states/eV/f.u.
magnetic moment: 0.00 μB per cell
V: 602.4 Å³ per cell

Lattice parameters (Å, degrees): 15.798 3.625 10.828 90.00 103.70 90.00
Space group C2/m (No. 12)
Symmetry-distinct sites (fractional):
La 0.000 0.000 0.000 (multiplicity 2)
La 0.167 0.500 0.556 (multiplicity 4)
Tb 0.000 0.000 0.331 (multiplicity 4)
Tb 0.167 0.500 0.890 (multiplicity 4)
Dy 0.167 0.500 0.221 (multiplicity 4)


Arrangement b

Entry from Alexandria: La3Tb4Dy2 after structural relaxation (GGA-PBE).

Properties
DOS at the Fermi energy: 14.0 states/eV/f.u.
magnetic moment: 0.00 μB per cell
V: 1201.6 Å³ per cell

Lattice parameters (Å, degrees): 16.517 11.876 6.181 90.00 97.67 90.00
Space group C2/c (No. 15)
Symmetry-distinct sites (fractional):
La 0.000 0.130 0.250 (multiplicity 4)
La 0.167 0.371 0.083 (multiplicity 8)
Tb 0.056 0.376 0.534 (multiplicity 8)
Tb 0.222 0.124 0.367 (multiplicity 8)
Dy 0.111 0.123 0.800 (multiplicity 8)


Which one is most stable, and which one is least stable? arrangement a is the most stable of them, while arrangement b is the least stable.


Arrangement a

Entry from Alexandria: La2Tb3Dy after structural relaxation (GGA-PBE).

Properties
DOS at the Fermi energy: 11.0 states/eV/f.u.
magnetic moment: 0.00 μB per cell
V: 403.3 Å³ per cell

Lattice parameters (Å, degrees): 7.127 9.891 5.720 90.00 90.00 90.00
Space group Pnnm (No. 58)
Symmetry-distinct sites (fractional):
La 0.249 0.167 0.000 (multiplicity 4)
Tb 0.000 0.500 0.000 (multiplicity 2)
Tb 0.250 0.333 0.500 (multiplicity 4)
Dy 0.000 0.000 0.500 (multiplicity 2)


Arrangement b

Entry from Alexandria: La2Tb3Dy after structural relaxation (GGA-PBE).

Properties
DOS at the Fermi energy: 8.9 states/eV/f.u.
magnetic moment: 0.00 μB per cell
V: 402.9 Å³ per cell

Lattice parameters (Å, degrees): 6.254 6.287 10.872 73.21 84.74 80.26
Space group P-1 (No. 2)
Symmetry-distinct sites (fractional):
La 0.125 0.375 0.375 (multiplicity 2)
La 0.375 0.125 0.125 (multiplicity 2)
Tb 0.122 0.709 0.041 (multiplicity 2)
Tb 0.128 0.041 0.709 (multiplicity 2)
Tb 0.378 0.791 0.459 (multiplicity 2)
Dy 0.372 0.459 0.791 (multiplicity 2)


Which one is most stable, and which one is least stable? arrangement b is the most stable of them, while arrangement a is the least stable.


Arrangement a

Entry from Alexandria: La7TbDy2 after structural relaxation (GGA-PBE).

Properties
DOS at the Fermi energy: 17.2 states/eV/f.u.
magnetic moment: 0.00 μB per cell
V: 742.0 Å³ per cell

Lattice parameters (Å, degrees): 12.227 17.137 3.541 90.00 90.00 90.00
Space group Cmmm (No. 65)
Symmetry-distinct sites (fractional):
La 0.000 0.000 0.000 (multiplicity 2)
La 0.000 0.180 0.500 (multiplicity 4)
La 0.245 0.130 0.000 (multiplicity 8)
Tb 0.000 0.500 0.500 (multiplicity 2)
Dy 0.000 0.335 0.000 (multiplicity 4)


Arrangement b

Entry from Alexandria: La7TbDy2 after structural relaxation (GGA-PBE).

Properties
DOS at the Fermi energy: 18.2 states/eV/f.u.
magnetic moment: 0.01 μB per cell
V: 848.9 Å³ per cell

Lattice parameters (Å, degrees): 8.909 16.478 5.783 90.00 90.00 90.00
Space group Cmmm (No. 65)
Symmetry-distinct sites (fractional):
La 0.000 0.000 0.000 (multiplicity 2)
La 0.000 0.268 0.500 (multiplicity 4)
La 0.181 0.386 0.000 (multiplicity 8)
Tb 0.000 0.500 0.500 (multiplicity 2)
Dy 0.000 0.205 0.000 (multiplicity 4)


Which one is most stable, and which one is least stable? arrangement a is the most stable of them, while arrangement b is the least stable.


Arrangement a

Entry from Alexandria: LaTb6Dy12 after structural relaxation (GGA-PBE).

Properties
DOS at the Fermi energy: 31.9 states/eV/f.u.
magnetic moment: 0.00 μB per cell
V: 1867.2 Å³ per cell

Lattice parameters (Å, degrees): 11.9265 11.9265 15.1574 90.00 90.00 120.00
Space group R-3 (No. 148, hexagonal axes)
Symmetry-distinct sites (fractional):
La 0.0000 0.0000 0.0000 (multiplicity 3)
Tb 0.0079 0.5868 0.6787 (multiplicity 18)
Dy 0.0185 0.1818 0.1919 (multiplicity 18)
Dy 0.0403 0.1889 0.4159 (multiplicity 18)


Arrangement b

Entry from Alexandria: LaTb6Dy12 after structural relaxation (GGA-PBE).

Properties
DOS at the Fermi energy: 25.0 states/eV/f.u.
magnetic moment: 0.00 μB per cell
V: 1966.6 Å³ per cell

Lattice parameters (Å, degrees): 15.2022 15.2022 9.8260 90.00 90.00 120.00
Space group R-3m (No. 166, hexagonal axes)
Symmetry-distinct sites (fractional):
La 0.0000 0.0000 0.0000 (multiplicity 3)
Tb 0.0432 0.5216 0.2023 (multiplicity 18)
Dy 0.0000 0.3910 0.5000 (multiplicity 18)
Dy 0.0701 0.1402 0.3081 (multiplicity 18)


Which one is most stable, and which one is least stable? arrangement a is the most stable of them, while arrangement b is the least stable.


Arrangement a

Entry from Alexandria: LaTbDyTh after structural relaxation (GGA-PBE).

Properties
DOS at the Fermi energy: 4.6 states/eV/f.u.
magnetic moment: 0.00 μB per cell
V: 132.7 Å³ per cell

Lattice parameters (Å, degrees): 3.613 3.613 10.166 90.00 90.00 90.00
Space group P4mm (No. 99)
Symmetry-distinct sites (fractional):
La 0.000 0.000 0.000 (multiplicity 1)
Tb 0.500 0.500 0.264 (multiplicity 1)
Dy 0.500 0.500 0.737 (multiplicity 1)
Th 0.000 0.000 0.501 (multiplicity 1)


Arrangement b

Entry from Alexandria: LaTbDyTh after structural relaxation (GGA-PBE).

Properties
DOS at the Fermi energy: 7.4 states/eV/f.u.
magnetic moment: 0.00 μB per cell
V: 532.2 Å³ per cell

Lattice parameters (Å, degrees): 8.104 8.104 8.104 90.00 90.00 90.00
Space group F-43m (No. 216)
Symmetry-distinct sites (fractional):
La 0.000 0.000 0.000 (multiplicity 4)
Tb 0.250 0.250 0.250 (multiplicity 4)
Dy 0.250 0.250 0.750 (multiplicity 4)
Th 0.000 0.000 0.500 (multiplicity 4)


Which one is most stable, and which one is least stable? arrangement a is the most stable of them, while arrangement b is the least stable.


Arrangement a

Entry from Alexandria: LaDy2Te after structural relaxation (GGA-PBE).

Properties
DOS at the Fermi energy: 6.8 states/eV/f.u.
magnetic moment: 0.01 μB per cell
V: 417.1 Å³ per cell

Lattice parameters (Å, degrees): 3.8246 3.8246 32.9220 90.00 90.00 120.00
Space group R-3m (No. 166, hexagonal axes)
Symmetry-distinct sites (fractional):
La 0.0000 0.0000 0.0000 (multiplicity 3)
Dy 0.0000 0.0000 0.1043 (multiplicity 6)
Te 0.0000 0.0000 0.5000 (multiplicity 3)


Arrangement b

Entry from Alexandria: LaDy2Te after structural relaxation (GGA-PBE).

Properties
DOS at the Fermi energy: 5.4 states/eV/f.u.
magnetic moment: 0.17 μB per cell
V: 399.9 Å³ per cell

Lattice parameters (Å, degrees): 3.9156 3.9156 30.1200 90.00 90.00 120.00
Space group R3m (No. 160, hexagonal axes)
Symmetry-distinct sites (fractional):
La 0.0000 0.0000 0.0000 (multiplicity 3)
Dy 0.0000 0.0000 0.5694 (multiplicity 3)
Dy 0.0000 0.0000 0.7642 (multiplicity 3)
Te 0.0000 0.0000 0.1668 (multiplicity 3)


Which one is most stable, and which one is least stable? arrangement b is the most stable of them, while arrangement a is the least stable.


Arrangement a

Entry from Alexandria: La4DyTe5 after structural relaxation (GGA-PBE).

Properties
DOS at the Fermi energy: 6.5 states/eV/f.u.
magnetic moment: 0.00 μB per cell
V: 660.1 Å³ per cell

Lattice parameters (Å, degrees): 10.133 10.133 6.429 90.00 90.00 90.00
Space group I4/m (No. 87)
Symmetry-distinct sites (fractional):
La 0.095 0.305 0.000 (multiplicity 8)
Dy 0.000 0.000 0.500 (multiplicity 2)
Te 0.000 0.000 0.000 (multiplicity 2)
Te 0.100 0.288 0.500 (multiplicity 8)


Arrangement b

Entry from Alexandria: La4DyTe5 after structural relaxation (GGA-PBE).

Properties
DOS at the Fermi energy: 6.7 states/eV/f.u.
magnetic moment: 0.00 μB per cell
V: 661.2 Å³ per cell

Lattice parameters (Å, degrees): 4.536 4.536 32.137 90.00 90.00 90.00
Space group I4/mmm (No. 139)
Symmetry-distinct sites (fractional):
La 0.000 0.000 0.101 (multiplicity 4)
La 0.000 0.000 0.304 (multiplicity 4)
Dy 0.000 0.000 0.500 (multiplicity 2)
Te 0.000 0.000 0.000 (multiplicity 2)
Te 0.000 0.000 0.202 (multiplicity 4)
Te 0.000 0.000 0.405 (multiplicity 4)


Which one is most stable, and which one is least stable? arrangement a is the most stable of them, while arrangement b is the least stable.


Arrangement a

Entry from Alexandria: La2DyTe3 after structural relaxation (GGA-PBE).

Properties
DOS at the Fermi energy: 4.1 states/eV/f.u.
magnetic moment: 0.00 μB per cell
V: 3103.1 Å³ per cell

Lattice parameters (Å, degrees): 9.104 12.737 26.760 90.00 90.00 90.00
Space group Fddd (No. 70, origin choice 2)
Symmetry-distinct sites (fractional):
La 0.125 0.125 0.044 (multiplicity 16)
La 0.125 0.125 0.373 (multiplicity 16)
Dy 0.125 0.125 0.542 (multiplicity 16)
Te 0.111 0.375 0.875 (multiplicity 16)
Te 0.118 0.369 0.711 (multiplicity 32)


Arrangement b

Entry from Alexandria: La2DyTe3 after structural relaxation (GGA-PBE).

Properties
DOS at the Fermi energy: 3.8 states/eV/f.u.
magnetic moment: 0.00 μB per cell
V: 388.3 Å³ per cell

Lattice parameters (Å, degrees): 4.496 6.379 13.539 90.00 90.00 90.00
Space group Immm (No. 71)
Symmetry-distinct sites (fractional):
La 0.000 0.000 0.171 (multiplicity 4)
Dy 0.000 0.000 0.500 (multiplicity 2)
Te 0.000 0.500 0.157 (multiplicity 4)
Te 0.000 0.500 0.500 (multiplicity 2)


Which one is most stable, and which one is least stable? arrangement a is the most stable of them, while arrangement b is the least stable.


Arrangement a

Entry from Alexandria: La3DyTe6 after structural relaxation (GGA-PBE).

Properties
magnetic moment: 0.00 μB per cell
V: 2257.6 Å³ per cell

Lattice parameters (Å, degrees): 14.0749 14.0749 13.1593 90.00 90.00 120.00
Space group R-3 (No. 148, hexagonal axes)
Symmetry-distinct sites (fractional):
La 0.0492 0.6092 0.3191 (multiplicity 18)
Dy 0.0000 0.0000 0.0000 (multiplicity 3)
Dy 0.0000 0.0000 0.5000 (multiplicity 3)
Te 0.0354 0.8284 0.3890 (multiplicity 18)
Te 0.0505 0.8451 0.8826 (multiplicity 18)


Arrangement b

Entry from Alexandria: La3DyTe6 after structural relaxation (GGA-PBE).

Properties
magnetic moment: 0.00 μB per cell
V: 725.0 Å³ per cell

Lattice parameters (Å, degrees): 12.811 4.514 13.237 90.00 108.71 90.00
Space group P2_1/m (No. 11)
Symmetry-distinct sites (fractional):
La 0.082 0.250 0.170 (multiplicity 2)
La 0.184 0.750 0.506 (multiplicity 2)
La 0.342 0.250 0.924 (multiplicity 2)
Dy 0.460 0.250 0.313 (multiplicity 2)
Te 0.016 0.250 0.380 (multiplicity 2)
Te 0.097 0.250 0.931 (multiplicity 2)
Te 0.262 0.750 0.289 (multiplicity 2)
Te 0.318 0.750 0.751 (multiplicity 2)
Te 0.395 0.250 0.536 (multiplicity 2)
Te 0.417 0.750 0.108 (multiplicity 2)


Which one is most stable, and which one is least stable? arrangement a is the most stable of them, while arrangement b is the least stable.


Arrangement a

Entry from Alexandria: La2DyTe4 after structural relaxation (GGA-PBE).

Properties
DOS at the Fermi energy: 2.5 states/eV/f.u.
magnetic moment: 0.00 μB per cell
V: 1010.8 Å³ per cell

Lattice parameters (Å, degrees): 8.939 9.037 12.513 90.00 90.00 90.00
Space group Imma (No. 74)
Symmetry-distinct sites (fractional):
La 0.000 0.000 0.000 (multiplicity 4)
La 0.250 0.250 0.250 (multiplicity 4)
Dy 0.250 0.250 0.750 (multiplicity 4)
Te 0.000 0.010 0.739 (multiplicity 8)
Te 0.243 0.250 0.505 (multiplicity 8)


Arrangement b

Entry from Alexandria: La2DyTe4 after structural relaxation (GGA-PBE).

Properties
DOS at the Fermi energy: 2.7 states/eV/f.u.
magnetic moment: 0.00 μB per cell
V: 1004.5 Å³ per cell

Lattice parameters (Å, degrees): 4.325 15.125 15.355 90.00 90.00 90.00
Space group Cmcm (No. 63)
Symmetry-distinct sites (fractional):
La 0.000 0.132 0.073 (multiplicity 8)
Dy 0.000 0.371 0.250 (multiplicity 4)
Te 0.000 0.019 0.250 (multiplicity 4)
Te 0.000 0.217 0.626 (multiplicity 8)
Te 0.000 0.500 0.000 (multiplicity 4)


Which one is most stable, and which one is least stable? arrangement a is the most stable of them, while arrangement b is the least stable.